No. 1
# PmPa4Re3N12

A relaxed structure of PmPa4Re3N12 (PBE, Alexandria via LeMat-Bulk).

Calculated values
The energy relative to the elements, uncorrected comes out at -0.65 eV per atom. The space-group type is Im-3 (204).

a b c (Å): 7.1407 7.1407 7.1407
angles (deg): 109.47 109.47 109.47
Element x y z (fractional)
Pm (0.0000, 0.0000, 0.0000)
Pa (0.0000, 0.0000, 0.5000)
Pa (0.0000, 0.5000, 0.0000)
Pa (0.5000, 0.0000, 0.0000)
Pa (0.5000, 0.5000, 0.5000)
Re (0.0000, 0.5000, 0.5000)
Re (0.5000, 0.0000, 0.5000)
Re (0.5000, 0.5000, 0.0000)
N (0.1561, 0.3171, 0.4732)
N (0.1561, 0.6829, 0.8390)
N (0.1610, 0.8439, 0.3171)
N (0.3171, 0.1610, 0.8439)
N (0.3171, 0.4732, 0.1561)
N (0.4732, 0.1561, 0.3171)
N (0.5268, 0.8439, 0.6829)
N (0.6829, 0.5268, 0.8439)
N (0.6829, 0.8390, 0.1561)
N (0.8390, 0.1561, 0.6829)
N (0.8439, 0.3171, 0.1610)
N (0.8439, 0.6829, 0.5268)

---

No. 2
# PaSeI

A relaxed structure of PaSeI (PBE, Alexandria via LeMat-Bulk).

Calculated values
The energy relative to the elements, uncorrected comes out at -1.00 eV per atom. The space-group type is P2_1/m (11).

a b c (Å): 3.8163 3.9205 18.7258
angles (deg): 90.00 90.43 90.00
Element x y z (fractional)
Pa (0.0169, 0.2500, 0.2471)
Pa (0.9831, 0.7500, 0.7529)
Se (0.4810, 0.2500, 0.6988)
Se (0.5190, 0.7500, 0.3012)
I (0.4877, 0.7500, 0.8831)
I (0.5123, 0.2500, 0.1169)

---

No. 3
# NbBI2O

A relaxed structure of NbBI2O (PBE, Alexandria via LeMat-Bulk).

Calculated values
The energy relative to the elements, uncorrected comes out at 0.25 eV per atom. The space-group type is P4/mmm (123).

a b c (Å): 5.7458 5.7458 3.9111
angles (deg): 90.00 90.00 90.00
Element x y z (fractional)
Nb (0.0000, 0.0000, 0.0000)
B (0.5000, 0.5000, 0.5000)
I (0.0000, 0.5000, 0.0000)
I (0.5000, 0.0000, 0.0000)
O (0.0000, 0.0000, 0.5000)

---

No. 4
# ErTlHg

A relaxed structure of ErTlHg (PBE, Alexandria via LeMat-Bulk).

Calculated values
The formation energy comes out at -0.3042 eV/atom. The space-group type is P6_3/mmc (194).

a b c (Å): 5.2324 5.2324 6.4397
angles (deg): 90.00 90.00 120.00
Element x y z (fractional)
Er (0.3333, 0.6667, 0.2500)
Er (0.6667, 0.3333, 0.7500)
Tl (0.0000, 0.0000, 0.0000)
Tl (0.0000, 0.0000, 0.5000)
Hg (0.3333, 0.6667, 0.7500)
Hg (0.6667, 0.3333, 0.2500)

---

No. 5
# Pr3Tl2Au2

A relaxed structure of Pr3Tl2Au2 (PBE, Alexandria via LeMat-Bulk).

Calculated values
The formation energy comes out at -0.5736 eV/atom. The space-group type is Cmmm (65).

a b c (Å): 11.6669 11.6669 3.6798
angles (deg): 90.00 90.00 157.24
Element x y z (fractional)
Pr (0.0000, 0.0000, 0.0000)
Pr (0.1669, 0.8331, 0.0000)
Pr (0.8331, 0.1669, 0.0000)
Tl (0.4204, 0.5796, 0.5000)
Tl (0.5796, 0.4204, 0.5000)
Au (0.2863, 0.7137, 0.5000)
Au (0.7137, 0.2863, 0.5000)

---

No. 6
# Er4Ge6Ir7

A relaxed structure of Er4Ge6Ir7 (PBE, Alexandria via LeMat-Bulk).

Calculated values
The formation energy comes out at -0.8824 eV/atom. The space-group type is Im-3m (229).

a b c (Å): 7.2503 7.2503 7.2503
angles (deg): 109.47 109.47 109.47
Element x y z (fractional)
Er (0.0000, 0.0000, 0.5000)
Er (0.0000, 0.5000, 0.0000)
Er (0.5000, 0.0000, 0.0000)
Er (0.5000, 0.5000, 0.5000)
Ge (0.0000, 0.3170, 0.3170)
Ge (0.0000, 0.6830, 0.6830)
Ge (0.3170, 0.0000, 0.3170)
Ge (0.3170, 0.3170, 0.0000)
Ge (0.6830, 0.0000, 0.6830)
Ge (0.6830, 0.6830, 0.0000)
Ir (0.0000, 0.0000, 0.0000)
Ir (0.2500, 0.5000, 0.7500)
Ir (0.2500, 0.7500, 0.5000)
Ir (0.5000, 0.2500, 0.7500)
Ir (0.5000, 0.7500, 0.2500)
Ir (0.7500, 0.2500, 0.5000)
Ir (0.7500, 0.5000, 0.2500)

---

No. 7
# Cs2BeAsSe4

A relaxed structure of Cs2BeAsSe4 (PBE, Alexandria via LeMat-Bulk).

Calculated values
The energy relative to the elements, uncorrected comes out at -0.73 eV per atom. The space-group type is Fddd (70).

a b c (Å): 14.8322 13.2647 7.9073
angles (deg): 84.94 62.98 32.08
Element x y z (fractional)
Cs (0.0541, 0.0541, 0.6959)
Cs (0.3041, 0.3041, 0.9459)
Cs (0.6959, 0.6959, 0.0541)
Cs (0.9459, 0.9459, 0.3041)
Be (0.1250, 0.1250, 0.1250)
Be (0.8750, 0.8750, 0.8750)
As (0.3750, 0.3750, 0.3750)
As (0.6250, 0.6250, 0.6250)
Se (0.0358, 0.3129, 0.3918)
Se (0.2404, 0.6082, 0.6871)
Se (0.3129, 0.0358, 0.7596)
Se (0.3918, 0.7596, 0.0358)
Se (0.6082, 0.2404, 0.9642)
Se (0.6871, 0.9642, 0.2404)
Se (0.7596, 0.3918, 0.3129)
Se (0.9642, 0.6871, 0.6082)

---

No. 8
# HgBiI

A relaxed structure of HgBiI (PBE, Alexandria via LeMat-Bulk).

Calculated values
The energy relative to the elements, uncorrected comes out at -0.13 eV per atom. The space-group type is C2/m (12).

a b c (Å): 7.7632 7.7632 7.4812
angles (deg): 105.19 105.19 33.85
Element x y z (fractional)
Hg (0.1383, 0.1383, 0.2797)
Hg (0.8617, 0.8617, 0.7203)
Bi (0.3004, 0.3004, 0.1353)
Bi (0.6996, 0.6996, 0.8647)
I (0.0000, 0.0000, 0.5000)
I (0.5000, 0.5000, 0.0000)

---

No. 9
# Tm4Cu2O

A relaxed structure of Tm4Cu2O (PBE, Alexandria via LeMat-Bulk).

Calculated values
The energy relative to the elements, uncorrected comes out at -0.92 eV per atom. The space-group type is I4/mmm (139).

a b c (Å): 7.5801 7.5801 7.5801
angles (deg): 144.82 144.82 50.60
Element x y z (fractional)
Tm (0.0000, 0.5000, 0.5000)
Tm (0.1859, 0.1859, 0.0000)
Tm (0.5000, 0.0000, 0.5000)
Tm (0.8141, 0.8141, 0.0000)
Cu (0.3792, 0.3792, 0.0000)
Cu (0.6208, 0.6208, 0.0000)
O (0.0000, 0.0000, 0.0000)

---

No. 10
# PAuC

A relaxed structure of PAuC (PBE, Alexandria via LeMat-Bulk).

Calculated values
The formation energy comes out at 0.4297 eV/atom. The space-group type is Amm2 (38).

a b c (Å): 3.5482 4.2764 4.2764
angles (deg): 40.44 90.00 90.00
Element x y z (fractional)
P (0.0000, 0.0000, 0.0000)
Au (0.5000, 0.2006, 0.2006)
C (0.0000, 0.3751, 0.3751)

---

No. 11
# CaLa2VRe

A relaxed structure of CaLa2VRe (PBE, Alexandria via LeMat-Bulk).

Calculated values
The formation energy comes out at 0.4377 eV/atom. The space-group type is P4/mmm (123).

a b c (Å): 5.6887 5.6887 4.8491
angles (deg): 90.00 90.00 90.00
Element x y z (fractional)
Ca (0.0000, 0.0000, 0.0000)
La (0.0000, 0.5000, 0.5000)
La (0.5000, 0.0000, 0.5000)
V (0.5000, 0.5000, 0.0000)
Re (0.5000, 0.5000, 0.5000)

---

No. 12
# MgAg14Pd

A relaxed structure of MgAg14Pd (PBE, Alexandria via LeMat-Bulk).

Calculated values
The formation energy comes out at -0.0415 eV/atom. The space-group type is Amm2 (38).

a b c (Å): 9.5346 5.8719 5.8719
angles (deg): 59.52 90.00 90.00
Element x y z (fractional)
Mg (0.0000, 0.0000, 0.0000)
Ag (0.0000, 0.0014, 0.4992)
Ag (0.0000, 0.4992, 0.0014)
Ag (0.2477, 0.1674, 0.6667)
Ag (0.2476, 0.6658, 0.6658)
Ag (0.2477, 0.6667, 0.1674)
Ag (0.2496, 0.1660, 0.1660)
Ag (0.5000, 0.3322, 0.3322)
Ag (0.5000, 0.3323, 0.8320)
Ag (0.5000, 0.8320, 0.3323)
Ag (0.5000, 0.8323, 0.8323)
Ag (0.7504, 0.1660, 0.1660)
Ag (0.7523, 0.1674, 0.6667)
Ag (0.7524, 0.6658, 0.6658)
Ag (0.7523, 0.6667, 0.1674)
Pd (0.0000, 0.5004, 0.5004)

---

No. 13
# YZrIr

A relaxed structure of YZrIr (PBE, Alexandria via LeMat-Bulk).

Calculated values
The formation energy comes out at -0.3609 eV/atom. The space-group type is P3m1 (156).

a b c (Å): 4.7004 4.7004 3.2901
angles (deg): 90.00 90.00 120.00
Element x y z (fractional)
Y (0.0000, 0.0000, 0.0000)
Zr (0.3333, 0.6667, 0.4097)
Ir (0.6667, 0.3333, 0.6546)

---

No. 14
# Na6AlPb2

A relaxed structure of Na6AlPb2 (PBE, Alexandria via LeMat-Bulk).

Calculated values
The formation energy comes out at -0.0677 eV/atom. The space-group type is R-3m (166).

a b c (Å): 10.7448 10.7448 10.7448
angles (deg): 29.96 29.96 29.96
Element x y z (fractional)
Na (0.0803, 0.0803, 0.0803)
Na (0.1989, 0.1989, 0.1989)
Na (0.3064, 0.3064, 0.3064)
Na (0.6936, 0.6936, 0.6936)
Na (0.8011, 0.8011, 0.8011)
Na (0.9197, 0.9197, 0.9197)
Al (0.5000, 0.5000, 0.5000)
Pb (0.4112, 0.4112, 0.4112)
Pb (0.5888, 0.5888, 0.5888)

---

No. 15
# CdTcAs4

A relaxed structure of CdTcAs4 (PBE, Alexandria via LeMat-Bulk).

Calculated values
The formation energy comes out at 0.7410 eV/atom. The space-group type is F-43m (216).

a b c (Å): 5.5236 5.5236 5.5236
angles (deg): 60.00 60.00 60.00
Element x y z (fractional)
Cd (0.0000, 0.0000, 0.0000)
Tc (0.7500, 0.7500, 0.7500)
As (0.3751, 0.3751, 0.3751)
As (0.3751, 0.3751, 0.8747)
As (0.3751, 0.8747, 0.3751)
As (0.8747, 0.3751, 0.3751)

---

No. 16
# LaInSb2

A relaxed structure of LaInSb2 (PBE, Alexandria via LeMat-Bulk).

Calculated values
The energy relative to the elements, uncorrected comes out at -0.57 eV per atom. The space-group type is P4/mmm (123).

a b c (Å): 4.2395 4.2395 6.5690
angles (deg): 90.00 90.00 90.00
Element x y z (fractional)
La (0.0000, 0.0000, 0.0000)
In (0.0000, 0.0000, 0.5000)
Sb (0.5000, 0.5000, 0.2412)
Sb (0.5000, 0.5000, 0.7588)

---

No. 17
# Ag2IrSe

A relaxed structure of Ag2IrSe (PBE, Alexandria via LeMat-Bulk).

Calculated values
The energy relative to the elements, uncorrected comes out at 0.44 eV per atom. The space-group type is P4/mmm (123).

a b c (Å): 2.7999 2.7999 9.2381
angles (deg): 90.00 90.00 90.00
Element x y z (fractional)
Ag (0.0000, 0.0000, 0.2293)
Ag (0.0000, 0.0000, 0.7707)
Ir (0.5000, 0.5000, 0.0000)
Se (0.5000, 0.5000, 0.5000)

---

No. 18
# Mg5TiPt6

A relaxed structure of Mg5TiPt6 (PBE, Alexandria via LeMat-Bulk).

Calculated values
The formation energy comes out at -0.8863 eV/atom. The space-group type is Immm (71).

a b c (Å): 7.5439 7.5439 7.5439
angles (deg): 147.33 123.63 66.69
Element x y z (fractional)
Mg (0.0000, 0.0000, 0.0000)
Mg (0.1624, 0.6624, 0.5000)
Mg (0.3276, 0.3276, 0.0000)
Mg (0.6724, 0.6724, 0.0000)
Mg (0.8376, 0.3376, 0.5000)
Ti (0.5000, 0.0000, 0.5000)
Pt (0.0939, 0.8355, 0.2584)
Pt (0.2657, 0.5000, 0.7657)
Pt (0.4229, 0.1645, 0.2584)
Pt (0.5771, 0.8355, 0.7416)
Pt (0.7343, 0.5000, 0.2343)
Pt (0.9061, 0.1645, 0.7416)

---

No. 19
# ScTl3B2O6

A relaxed structure of ScTl3B2O6 (PBE, Alexandria via LeMat-Bulk).

Calculated values
The energy relative to the elements, uncorrected comes out at -2.02 eV per atom. The space-group type is P-3m1 (164).

a b c (Å): 5.3581 5.3581 7.4607
angles (deg): 90.00 90.00 120.00
Element x y z (fractional)
Sc (0.0000, 0.0000, 0.0000)
Tl (0.0000, 0.0000, 0.5000)
Tl (0.3333, 0.6667, 0.2835)
Tl (0.6667, 0.3333, 0.7165)
B (0.3333, 0.6667, 0.8324)
B (0.6667, 0.3333, 0.1676)
O (0.1837, 0.3674, 0.8300)
O (0.1837, 0.8163, 0.8300)
O (0.3674, 0.1837, 0.1700)
O (0.6326, 0.8163, 0.8300)
O (0.8163, 0.1837, 0.1700)
O (0.8163, 0.6326, 0.1700)

---

No. 20
# InGa3Br8

A relaxed structure of InGa3Br8 (PBE, Alexandria via LeMat-Bulk).

Calculated values
The energy relative to the elements, uncorrected comes out at -0.77 eV per atom. The space-group type is C2/m (12).

a b c (Å): 7.0447 7.0447 10.2446
angles (deg): 91.56 91.56 69.25
Element x y z (fractional)
In (0.0000, 0.0000, 0.0000)
Ga (0.0000, 0.0000, 0.5000)
Ga (0.3830, 0.3830, 0.7398)
Ga (0.6170, 0.6170, 0.2602)
Br (0.2539, 0.7330, 0.2616)
Br (0.2670, 0.7461, 0.7384)
Br (0.2684, 0.2684, 0.5464)
Br (0.2843, 0.2843, 0.9366)
Br (0.7157, 0.7157, 0.0634)
Br (0.7316, 0.7316, 0.4536)
Br (0.7330, 0.2539, 0.2616)
Br (0.7461, 0.2670, 0.7384)

---

Number 1: density of states at the Fermi level 0.693 states/eV per atom, total DFT energy (no corrections) -9.65 eV per atom. Number 2: density of states at the Fermi level 1.268 states/eV per atom, total DFT energy (no corrections) -5.84 eV per atom. Number 3: density of states at the Fermi level 0.716 states/eV per atom, total DFT energy (no corrections) -4.71 eV per atom. Number 4: density of states at the Fermi level 0.694 states/eV per atom, total DFT energy (no corrections) -2.71 eV per atom. Number 5: density of states at the Fermi level 0.907 states/eV per atom, total DFT energy (no corrections) -4.23 eV per atom. Number 6: density of states at the Fermi level 0.376 states/eV per atom, total DFT energy (no corrections) -7.23 eV per atom. Number 7: density of states at the Fermi level 0.668 states/eV per atom, total DFT energy (no corrections) -3.73 eV per atom. Number 8: density of states at the Fermi level 0.113 states/eV per atom, total DFT energy (no corrections) -2.04 eV per atom. Number 9: density of states at the Fermi level 1.173 states/eV per atom, total DFT energy (no corrections) -5.35 eV per atom. Number 10: density of states at the Fermi level 0.251 states/eV per atom, total DFT energy (no corrections) -5.54 eV per atom. Number 11: density of states at the Fermi level 1.285 states/eV per atom, total DFT energy (no corrections) -6.25 eV per atom. Number 12: density of states at the Fermi level 0.298 states/eV per atom, total DFT energy (no corrections) -2.96 eV per atom. Number 13: density of states at the Fermi level 0.636 states/eV per atom, total DFT energy (no corrections) -8.32 eV per atom. Number 14: density of states at the Fermi level 0.416 states/eV per atom, total DFT energy (no corrections) -2.19 eV per atom. Number 15: density of states at the Fermi level 0.682 states/eV per atom, total DFT energy (no corrections) -4.24 eV per atom. Number 16: density of states at the Fermi level 0.729 states/eV per atom, total DFT energy (no corrections) -4.55 eV per atom. Number 17: density of states at the Fermi level 1.064 states/eV per atom, total DFT energy (no corrections) -4.08 eV per atom. Number 18: density of states at the Fermi level 0.281 states/eV per atom, total DFT energy (no corrections) -5.23 eV per atom. Number 19: density of states at the Fermi level 0.000 states/eV per atom, total DFT energy (no corrections) -6.74 eV per atom. Number 20: density of states at the Fermi level 0.000 states/eV per atom, total DFT energy (no corrections) -2.87 eV per atom.